[1]
DFT (PBE) results for an optimized crystal structure of HoTmTlCu.

abc: 5.129 5.129 5.129
angles: 60.00 60.00 60.00
Sites, in units of the cell vectors:
Ho: 0.000 0.000 0.000
Tm: 0.500 0.500 0.500
Tl: 0.750 0.750 0.750
Cu: 0.250 0.250 0.250

## Properties
As for the total magnetization: 0.00 μB per cell.

[2]
DFT (PBE) results for an optimized crystal structure of YHoTlCu.

abc: 5.171 5.171 5.171
angles: 60.00 60.00 60.00
Sites, in units of the cell vectors:
Y: 0.000 0.000 0.000
Ho: 0.500 0.500 0.500
Tl: 0.750 0.750 0.750
Cu: 0.250 0.250 0.250

## Properties
As for the total magnetization: 0.00 μB per cell.

no.,formation energy (meV/atom)
1,-250
2,-261